InFeCoAu: relaxed, GGA-PBE.

As for the crystal system: cubic. The energy above the lowest structure with this stoichiometry comes out at 0 meV/atom. As for the spin magnetization: 4.322 μB per cell.

Unit cell a=4.4574 b=4.4574 c=4.4574 alpha=60.00 beta=60.00 gamma=60.00
Closest atoms and distances in Å follow each position.
Element x y z (fractional)
1 In 0.0000 0.0000 0.0000  4 Co 2.73, 4 Au 2.73
2 Fe 0.5000 0.5000 0.5000  4 Au 2.73, 4 Co 2.73
3 Co 0.2500 0.2500 0.2500  4 Fe 2.73, 4 In 2.73
4 Au 0.7500 0.7500 0.7500  4 In 2.73, 4 Fe 2.73

=====

LiGdHgO3: relaxed, GGA-PBE.

As for the crystal system: orthorhombic. As for the spin magnetization: 0.003 μB per cell.

Unit cell a=5.2472 b=5.2472 c=9.0492 alpha=90.00 beta=90.00 gamma=141.92
Closest atoms and distances in Å follow each position.
Element x y z (fractional)
1 Li 0.0222 0.9778 0.7500  4 O 1.84-1.97
2 Li 0.9778 0.0222 0.2500  4 O 1.84-1.97
3 Gd 0.5000 0.5000 0.0000  6 O 2.27-2.38
4 Gd 0.5000 0.5000 0.5000  6 O 2.27-2.38
5 Hg 0.2531 0.7469 0.2500  6 O 2.45-2.56, 1 Li 2.73
6 Hg 0.7469 0.2531 0.7500  6 O 2.45-2.56, 1 Li 2.73
7 O 0.1296 0.8704 0.5836  1 Li 1.84
8 O 0.1296 0.8704 0.9164  1 Li 1.84
9 O 0.4241 0.5759 0.7500  2 Li 1.97
10 O 0.5759 0.4241 0.2500  2 Li 1.97
11 O 0.8704 0.1296 0.0836  1 Li 1.84
12 O 0.8704 0.1296 0.4164  1 Li 1.84

=====

Number 1: calculated total energy -20.65 eV per cell. Number 2: calculated total energy -65.26 eV per cell.